# 1
# LaBe2

A geometry-optimized LaBe2 structure (PBE-GGA, Alexandria via LeMat-Bulk).

Summary:
The distance to the lowest polymorph of the same formula comes out at 422 meV per atom. As for the formation energy: 0.4975 eV per atom. The density of states at the Fermi level is 0.9047 states/eV per atom.

Cell: 3.1276 3.1276 5.4389 Å, 90.00 90.00 90.00°
With the nearest neighbours (Å) after each atom.
Positions (direct):
La1 0.0000 0.0000 0.0000  4 La 3.13, 8 Be 3.14
Be1 0.0000 0.5000 0.5000  4 Be 2.21
Be2 0.5000 0.0000 0.5000  4 Be 2.21

# 2
# LaBe2

A geometry-optimized LaBe2 structure (PBE-GGA, Alexandria via LeMat-Bulk).

Summary:
The distance to the lowest polymorph of the same formula comes out at 141 meV per atom. As for the formation energy: 0.2164 eV per atom. The density of states at the Fermi level is 0.4560 states/eV per atom.

Cell: 5.2317 5.2317 5.2317 Å, 60.00 60.00 60.00°
With the nearest neighbours (Å) after each atom.
Positions (direct):
La1 0.1250 0.1250 0.1250  12 Be 3.07, 4 La 3.20
La2 0.8750 0.8750 0.8750  12 Be 3.07, 4 La 3.20
Be1 0.0000 0.5000 0.5000  6 Be 2.62
Be2 0.5000 0.0000 0.5000  6 Be 2.62
Be3 0.5000 0.5000 0.0000  6 Be 2.62
Be4 0.5000 0.5000 0.5000  6 Be 2.62